{"formula": "Li3NiRh2O6", "functional": "PBE+U", "state": "relaxed", "n_ef_per_ev_cell": 6.99, "e_tot_ev_per_atom": -5.696, "sg": "C2/m, No. 12", "cell": [[2.617, -4.518, 0.000], [2.617, 4.518, 0.000], [-1.743, 0.000, 4.837]], "species": ["Li", "Li", "Li", "Ni", "Rh", "Rh", "O", "O", "O", "O", "O", "O"], "frac_coords": [[0.000, 0.000, 0.000], [0.333, 0.667, 0.000], [0.667, 0.333, 0.000], [0.500, 0.500, 0.500], [0.166, 0.834, 0.500], [0.834, 0.166, 0.500], [0.084, 0.423, 0.268], [0.240, 0.240, 0.735], [0.423, 0.084, 0.268], [0.577, 0.916, 0.732], [0.760, 0.760, 0.265], [0.916, 0.577, 0.732]]}